# 1
Tb2YMg (PBE-GGA, relaxed); M_tot = 0.00 μB per atom; SG = C2/m; E above lowest polymorph = 0 meV per atom
1.0
0.2988 5.0164 -0.8046
-0.5380 -0.7752 -5.0011
-9.0615 -1.4249 3.7735
Tb Mg Y
4 2 2
Direct
0.0000 0.5000 0.5000
0.1318 0.1318 0.7635
0.5000 0.0000 0.5000
0.8682 0.8682 0.2365
0.2499 0.7501 0.0000
0.7501 0.2499 0.0000
0.6339 0.6339 0.7677
0.3661 0.3661 0.2323

---

# 2
Zr2CuSb (PBE-GGA, relaxed); M_tot = 0.00 μB per atom; SG = P4/mmm; formation energy (no corrections) = -0.33 eV per atom
1.0
-0.5392 3.4053 -1.2109
-2.0532 0.7166 2.9294
2.8654 2.5615 5.9276
Sb Zr Cu
1 2 1
Direct
0.5000 0.7500 0.7500
0.0000 0.5067 0.4932
0.0000 0.9933 0.0068
0.5000 0.2500 0.2500

---

# 3
BiSeBr3 (PBE-GGA, relaxed); M_tot = 0.16 μB per atom; SG = Pm-3m; E above lowest polymorph = 259 meV per atom; formation energy (no corrections) = 0.27 eV per atom
1.0
5.3902 0.0000 0.0000
0.0000 5.3902 0.0000
0.0000 0.0000 5.3902
Br Bi Se
3 1 1
Direct
0.5000 0.0000 0.0000
0.0000 0.5000 0.0000
0.0000 0.0000 0.5000
0.5000 0.5000 0.5000
0.0000 0.0000 0.0000

---

# 4
TiRe2Rh (PBE-GGA, relaxed); M_tot = 0.28 μB per atom; SG = Fm-3m; E above lowest polymorph = 0 meV per atom
1.0
0.0000 3.1098 3.1098
3.1098 0.0000 3.1098
3.1098 3.1098 0.0000
Re Ti Rh
2 1 1
Direct
0.7500 0.7500 0.7500
0.2500 0.2500 0.2500
0.0000 0.0000 0.0000
0.5000 0.5000 0.5000

---

# 5
HfPdPb3 (PBE-GGA, relaxed); M_tot = 0.00 μB per atom; SG = Pm-3m; E above lowest polymorph = 134 meV per atom
1.0
-3.0608 -2.2959 4.0644
4.4447 -2.9186 1.6986
1.4264 4.1677 3.4285
Pb Pd Hf
3 1 1
Direct
0.5000 0.0000 0.0000
0.0000 0.5000 0.0000
0.0000 0.0000 0.5000
0.5000 0.5000 0.5000
0.0000 0.0000 0.0000

---

# 6
Np2GaRu3 (PBE-GGA, relaxed); M_tot = 0.82 μB per atom; SG = C2/c; E above lowest polymorph = 104 meV per atom
1.0
5.2393 0.0000 0.0000
0.0000 7.9838 -0.4059
-2.6196 -2.2681 5.2817
Ru Np Ga
6 4 2
Direct
0.8479 0.4158 0.7337
0.1142 0.0842 0.2663
0.8858 0.9158 0.7337
0.6841 0.2500 0.0000
0.3159 0.7500 0.0000
0.1521 0.5842 0.2663
0.6581 0.0900 0.3573
0.3008 0.4100 0.6427
0.3419 0.9100 0.6427
0.6992 0.5900 0.3573
0.1978 0.2500 0.0000
0.8022 0.7500 0.0000

---

# 7
SiAgGe2As4 (PBE-GGA, relaxed); M_tot = 0.00 μB per atom; SG = Fmm2; formation energy (no corrections) = 0.04 eV per atom
1.0
-5.2051 2.7421 -1.0827
-2.2395 -3.1946 4.5347
5.0947 4.2061 1.7555
As Ge Ag Si
4 2 1 1
Direct
0.6132 0.6132 0.7502
0.8542 0.3808 0.2350
0.3808 0.8542 0.2350
0.1371 0.1371 0.7502
0.7552 0.2552 0.5104
0.2552 0.7552 0.5104
0.0037 0.0037 0.0074
0.5009 0.5009 0.0018

---

# 8
Sb2OsPdRu (PBE-GGA, relaxed); M_tot = 0.54 μB per atom; SG = P4/mmm; formation energy (no corrections) = 1.45 eV per atom
1.0
-1.4520 -0.3915 4.7071
0.9893 -4.7321 -0.0884
4.6139 0.9365 1.5012
Pd Os Sb Ru
1 1 2 1
Direct
0.0000 0.5000 0.0000
0.5000 0.5000 0.5000
0.5000 0.0000 0.0000
0.0000 0.0000 0.5000
0.0000 0.0000 0.0000

---

# 9
Tl2Te3Au2 (PBE-GGA, relaxed); M_tot = 0.00 μB per atom; SG = C2/m; formation energy (no corrections) = -0.10 eV per atom
1.0
-4.3750 0.9301 0.3425
-1.4190 -4.2510 -6.5810
1.6240 -4.8173 4.4495
Tl Te Au
2 3 2
Direct
0.4388 0.2085 0.8777
0.5612 0.7915 0.1223
0.2929 0.7978 0.5857
0.0000 0.5000 0.0000
0.7071 0.2022 0.4143
0.2067 0.3969 0.4134
0.7933 0.6031 0.5866

---

# 10
Ca3Pd5Cl12 (PBE-GGA, relaxed); M_tot = 0.00 μB per atom; SG = Ia-3d; formation energy (no corrections) = -1.02 eV per atom
1.0
-5.8922 -2.3948 -11.9757
13.4273 0.8942 -1.6673
-2.8286 -10.1470 8.5387
Pd Cl Ca
20 48 12
Direct
0.0000 0.0000 0.5000
0.3750 0.1250 0.7500
0.5000 0.5000 0.0000
0.6250 0.8750 0.2500
0.0000 0.0000 0.0000
0.6250 0.7500 0.8750
0.1250 0.7500 0.3750
0.2500 0.3750 0.6250
0.7500 0.1250 0.8750
0.2500 0.8750 0.1250
0.7500 0.6250 0.3750
0.1250 0.3750 0.2500
0.8750 0.6250 0.7500
0.0000 0.5000 0.5000
0.3750 0.2500 0.1250
0.5000 0.0000 0.5000
0.0000 0.5000 0.0000
0.8750 0.2500 0.6250
0.5000 0.5000 0.5000
0.5000 0.0000 0.0000
0.2909 0.4194 0.8287
0.5378 0.3287 0.9093
0.7091 0.5806 0.1713
0.3715 0.9622 0.7909
0.5907 0.6285 0.4194
0.0806 0.1713 0.2091
0.8287 0.9194 0.2909
0.5806 0.7091 0.6713
0.8287 0.9093 0.0378
0.1285 0.4194 0.0907
0.7909 0.4622 0.3715
0.6285 0.5907 0.9194
0.5378 0.2091 0.1285
0.4622 0.7909 0.8715
0.3287 0.5378 0.4093
0.1713 0.0907 0.9622
0.1713 0.0806 0.7091
0.9622 0.5907 0.1713
0.0378 0.4093 0.8287
0.3715 0.4093 0.0806
0.4093 0.0378 0.3287
0.6713 0.2091 0.5806
0.9093 0.8287 0.5378
0.8715 0.2909 0.4622
0.1285 0.7091 0.5378
0.4622 0.6713 0.0907
0.2091 0.5378 0.6285
0.5806 0.8715 0.4093
0.3287 0.7909 0.4194
0.6713 0.4622 0.5907
0.0907 0.1713 0.4622
0.7909 0.3287 0.9194
0.9622 0.3715 0.2909
0.4194 0.1285 0.5907
0.8715 0.5806 0.9093
0.4093 0.3715 0.5806
0.6285 0.0378 0.2091
0.5907 0.9622 0.6713
0.9194 0.8287 0.7909
0.0806 0.9093 0.3715
0.0378 0.6285 0.7091
0.2909 0.8715 0.9622
0.0907 0.9194 0.1285
0.4194 0.2909 0.3287
0.9194 0.0907 0.6285
0.9093 0.0806 0.8715
0.7091 0.1285 0.0378
0.2091 0.6713 0.0806
0.1250 0.8750 0.7500
0.6250 0.3750 0.7500
0.6250 0.2500 0.3750
0.1250 0.2500 0.8750
0.3750 0.6250 0.2500
0.2500 0.6250 0.8750
0.7500 0.8750 0.6250
0.7500 0.3750 0.1250
0.2500 0.1250 0.3750
0.8750 0.7500 0.1250
0.8750 0.1250 0.2500
0.3750 0.7500 0.6250

---

# 11
Pr3Ge6Pt2Rh (PBE-GGA, relaxed); M_tot = 0.00 μB per atom; SG = P-3m1; E_tot = -67.1 eV per cell
1.0
6.0621 0.0000 0.0000
-3.0311 5.2500 0.0000
0.0000 0.0000 8.0560
Ge Rh Pr Pt
6 1 3 2
Direct
0.1899 0.3798 0.3016
0.1899 0.8101 0.3016
0.3798 0.1899 0.6984
0.6202 0.8101 0.3016
0.8101 0.1899 0.6984
0.8101 0.6202 0.6984
0.0000 0.0000 0.5000
0.0000 0.0000 0.0000
0.3333 0.6667 0.6556
0.6667 0.3333 0.3444
0.3333 0.6667 0.0369
0.6667 0.3333 0.9631

---

# 12
Fe2OsRh (PBE-GGA, relaxed); M_tot = 1.39 μB per atom; SG = Imm2; E above lowest polymorph = 61 meV per atom
1.0
4.9832 -0.0029 -0.0001
2.3247 4.4077 0.0001
-3.1490 -3.0401 2.3820
Os Fe Rh
1 2 1
Direct
0.5133 0.5133 0.0000
0.7608 0.2608 0.5000
0.9855 0.9855 0.0000
0.2404 0.7404 0.5000

---

# 13
TbPmNd2Er2 (PBE-GGA, relaxed); M_tot = 0.00 μB per atom; SG = Pnnm; E_tot = -55.3 eV per cell
1.0
-2.0713 5.2715 -0.4211
-9.1641 -3.5606 0.5032
0.1454 0.6179 7.0202
Er Tb Nd Pm
4 2 4 2
Direct
0.0000 0.3334 0.7501
0.5000 0.1666 0.2501
0.5000 0.8334 0.7499
0.0000 0.6666 0.2499
0.0000 0.0000 0.5000
0.5000 0.5000 0.0000
0.5000 0.1668 0.7487
0.0000 0.6668 0.7513
0.5000 0.8332 0.2513
0.0000 0.3332 0.2487
0.0000 0.0000 0.0000
0.5000 0.5000 0.5000

---

# 14
SiOsW2 (PBE-GGA, relaxed); M_tot = 0.00 μB per atom; SG = I-42d; formation energy (no corrections) = 0.65 eV per atom
1.0
3.7576 0.0000 0.0000
0.0000 3.7576 0.0000
1.8788 1.8788 9.1978
W Si Os
4 2 2
Direct
0.6048 0.1250 0.2500
0.8750 0.8548 0.7500
0.3750 0.3952 0.7500
0.1452 0.6250 0.2500
0.2500 0.7500 0.5000
0.5000 0.5000 0.0000
0.0000 0.0000 0.0000
0.7500 0.2500 0.5000

---

# 15
IrRu2Au (PBE-GGA, relaxed); M_tot = 0.00 μB per atom; SG = R3m; E above lowest polymorph = 5 meV per atom
1.0
-5.9161 5.9157 4.0072
-6.1491 3.8224 5.7992
-4.1095 5.6677 6.0862
Ru Au Ir
2 1 1
Direct
0.2562 0.2562 0.2562
0.9987 0.9987 0.9987
0.5007 0.5007 0.5007
0.7444 0.7444 0.7444

---

# 16
Y2Cd2Ni (PBE-GGA, relaxed); M_tot = 0.00 μB per atom; SG = P4/mbm; E_tot = -41.8 eV per cell
1.0
7.0796 0.0000 0.0000
0.0000 7.0796 0.0000
0.0000 0.0000 4.7768
Y Cd Ni
4 4 2
Direct
0.8286 0.3286 0.5000
0.1714 0.6714 0.5000
0.3286 0.1714 0.5000
0.6714 0.8286 0.5000
0.1415 0.3585 0.0000
0.8585 0.6415 0.0000
0.3585 0.8585 0.0000
0.6415 0.1415 0.0000
0.5000 0.5000 0.0000
0.0000 0.0000 0.0000

---

# 17
ZnCdP2 (PBE-GGA, relaxed); M_tot = 0.00 μB per atom; SG = Pmm2; E above lowest polymorph = 92 meV per atom
1.0
2.9487 0.0000 0.0000
0.0000 3.8161 0.0000
0.0000 0.0000 7.1114
Zn P Cd
1 2 1
Direct
0.0000 0.0000 0.3061
0.0000 0.0000 0.9712
0.5000 0.5000 0.4316
0.5000 0.5000 0.7911

---

# 18
Ho6ZnOs2 (PBE-GGA, relaxed); M_tot = 0.00 μB per atom; SG = Immm; E_tot = -107.1 eV per cell
1.0
-2.6737 -7.9270 0.6968
7.6340 0.4655 -3.4609
0.9860 3.7977 7.4214
Ho Zn Os
12 2 4
Direct
0.5412 0.7224 0.8188
0.3155 0.9841 0.6686
0.9036 0.7224 0.1812
0.1981 0.2459 0.4440
0.8019 0.7541 0.5560
0.0964 0.2776 0.8188
0.1981 0.7541 0.9522
0.3155 0.6469 0.3314
0.6845 0.0159 0.3314
0.6845 0.3531 0.6686
0.8019 0.2459 0.0478
0.4588 0.2776 0.1812
0.0000 0.0000 0.0000
0.0000 0.5000 0.5000
0.3167 0.0000 0.3167
0.5000 0.3774 0.8774
0.5000 0.6226 0.1226
0.6833 0.0000 0.6833